1.
The following is a DFT calculation (PBE+U) of an optimized crystal structure of Rb2VAs2O6.

```
11
Lattice="5.694 0.000 0.000 2.847 4.931 0.000 2.847 1.644 7.932" Properties=species:S:1:pos:R:3 pbc="T T T"
Rb 8.542 4.931 6.272
Rb 2.847 1.644 1.660
V 0.000 0.000 0.000
As 5.694 3.288 6.056
As 5.694 3.288 1.876
O 7.110 4.105 1.117
O 4.278 4.105 1.117
O 5.694 1.653 1.117
O 5.694 4.923 6.815
O 7.110 2.470 6.815
O 4.278 2.470 6.815
```

Calculated total energy: -0.2166 Ha/atom
Mass density: 3.49 g cm⁻³
Crystal system: trigonal



2.
The following is a DFT calculation (PBE+U) of an optimized crystal structure of Rb2VAsO6.

```
20
Lattice="-2.813 4.856 -1.349 -3.200 2.683 3.984 5.281 7.437 3.415" Properties=species:S:1:pos:R:3 pbc="T T T"
Rb -3.135 9.484 3.637
Rb 2.404 5.492 2.413
Rb 0.135 11.695 4.775
Rb -0.867 3.282 1.274
V -2.450 6.080 2.299
V 1.719 8.897 3.751
As 0.000 0.000 0.000
As -0.366 7.488 3.025
O -1.684 7.810 1.749
O -1.847 6.898 3.987
O -0.504 5.772 2.315
O 0.953 7.167 4.301
O 1.116 8.079 2.062
O -0.228 9.205 3.735
O 2.041 10.580 2.876
O 1.844 9.478 5.580
O 3.467 8.118 3.560
O -2.772 4.397 3.174
O -2.576 5.499 0.470
O -4.198 6.859 2.490
```

Calculated total energy: -0.2154 Ha/atom
Mass density: 4.94 g cm⁻³
Crystal system: trigonal



3.
The following is a DFT calculation (PBE+U) of an optimized crystal structure of Rb3VAs2O8.

```
14
Lattice="-2.980 1.824 4.562 -2.667 -0.862 -5.016 -1.499 -7.790 2.136" Properties=species:S:1:pos:R:3 pbc="T T T"
Rb -3.891 -5.785 -0.228
Rb -3.255 -1.043 1.910
Rb 0.000 0.000 0.000
V -0.750 -3.895 1.068
As -3.202 -2.205 -1.210
As -3.944 -4.622 2.891
O -2.893 -0.602 -1.649
O -4.252 -6.225 3.331
O -3.247 -3.152 -2.657
O -3.899 -3.675 4.339
O -1.922 -2.724 -0.166
O -5.223 -4.104 1.848
O -4.727 -2.246 -0.392
O -2.419 -4.581 2.074
```

Calculated total energy: -0.2161 Ha/atom
Mass density: 4.14 g cm⁻³
Crystal system: trigonal



4.
The following is a DFT calculation (PBE+U) of an optimized crystal structure of RbVAs2O.

```
5
Lattice="4.505 0.000 0.000 0.000 5.080 0.000 0.000 0.000 4.505" Properties=species:S:1:pos:R:3 pbc="T T T"
As 0.000 0.000 2.253
As 2.253 0.000 0.000
O 0.000 0.000 0.000
Rb 0.000 2.540 0.000
V 2.253 2.540 2.253
```

Calculated total energy: -0.1523 Ha/atom
Mass density: 4.87 g cm⁻³
Crystal system: tetragonal